Entry 1:
Material: TaIn2Hg
Method: DFT, SCAN
State: PBEsol geometry

Values from the calculation:
N(E_F): 2.93 states/eV per cell
Formation energy: 0.3263 eV/atom
E_tot: -50.05 eV/atom

Unit cell a=10.270 b=3.121 c=5.237 alpha=90.00 beta=103.39 gamma=90.00
Space group C2/m (No. 12)
Symmetry-distinct sites (fractional):
Ta  0.000  0.000  0.000 x2
In  0.244  0.500  0.238 x4
Hg  0.000  0.500  0.500 x2

***

Entry 2:
Material: Ta2InHg
Method: DFT, SCAN
State: PBEsol geometry

Values from the calculation:
N(E_F): 2.72 states/eV per cell
Formation energy: 0.4381 eV/atom
E_tot: -58.24 eV/atom

Unit cell a=3.596 b=3.596 c=5.788 alpha=90.00 beta=90.00 gamma=90.00
Space group P4/mmm (No. 123)
Symmetry-distinct sites (fractional):
Ta  0.000  0.000  0.245 x2
In  0.500  0.500  0.000 x1
Hg  0.500  0.500  0.500 x1

***

Entry 3:
Material: TaInHg3
Method: DFT, SCAN
State: PBEsol geometry

Values from the calculation:
N(E_F): 5.80 states/eV per cell
Formation energy: 0.7330 eV/atom
E_tot: -60.16 eV/atom

Unit cell a=5.321 b=5.321 c=5.321 alpha=90.00 beta=90.00 gamma=90.00
Space group Pm-3m (No. 221)
Symmetry-distinct sites (fractional):
Ta  0.000  0.000  0.000 x1
In  0.500  0.500  0.500 x1
Hg  0.000  0.000  0.500 x3

***

Entry 4:
Material: TaInHg2
Method: DFT, SCAN
State: PBEsol geometry

Values from the calculation:
N(E_F): 9.22 states/eV per cell
Formation energy: 0.3080 eV/atom
E_tot: -58.77 eV/atom

Unit cell a=3.1048 b=3.1048 c=29.4298 alpha=90.00 beta=90.00 gamma=120.00
Space group R-3m (No. 166, hexagonal axes)
Symmetry-distinct sites (fractional):
Ta  0.0000  0.0000  0.0000 x3
In  0.0000  0.0000  0.5000 x3
Hg  0.0000  0.0000  0.2538 x6

***

Entry 5:
Material: TaInHg2
Method: DFT, SCAN
State: PBEsol geometry

Values from the calculation:
N(E_F): 1.93 states/eV per cell
Formation energy: 0.3558 eV/atom
E_tot: -58.72 eV/atom

Unit cell a=2.962 b=5.256 c=5.274 alpha=90.00 beta=90.00 gamma=90.00
Space group Pmmm (No. 47)
Symmetry-distinct sites (fractional):
Ta  0.000  0.000  0.000 x1
In  0.500  0.000  0.500 x1
Hg  0.000  0.500  0.500 x1
Hg  0.500  0.500  0.000 x1

***

Entry 6:
Material: TaInHg
Method: DFT, SCAN
State: PBEsol geometry

Values from the calculation:
N(E_F): 1.99 states/eV per cell
Formation energy: 0.4848 eV/atom
E_tot: -55.56 eV/atom

Unit cell a=4.7908 b=4.7908 c=2.9379 alpha=90.00 beta=90.00 gamma=120.00
Space group P3m1 (No. 156)
Symmetry-distinct sites (fractional):
Ta  0.0000  0.0000  0.0000 x1
In  0.6667  0.3333  0.5035 x1
Hg  0.3333  0.6667  0.4929 x1

***

Entry 7:
Material: InTc2Hg
Method: DFT, SCAN
State: PBEsol geometry

Values from the calculation:
N(E_F): 7.96 states/eV per cell
Formation energy: 0.6336 eV/atom
Energy above the lowest structure with this stoichiometry: 167 meV per atom
E_tot: -42.28 eV/atom

Unit cell a=3.069 b=4.707 c=9.349 alpha=90.00 beta=90.00 gamma=90.00
Space group Immm (No. 71)
Symmetry-distinct sites (fractional):
In  0.000  0.000  0.000 x2
Tc  0.000  0.500  0.253 x4
Hg  0.000  0.000  0.500 x2

***

Entry 8:
Material: InTc2Hg
Method: DFT, SCAN
State: PBEsol geometry

Values from the calculation:
N(E_F): 7.21 states/eV per cell
Formation energy: 0.6615 eV/atom
Energy above the lowest structure with this stoichiometry: 195 meV per atom
E_tot: -42.26 eV/atom

Unit cell a=3.205 b=4.602 c=9.156 alpha=90.00 beta=90.00 gamma=90.00
Space group Cmmm (No. 65)
Symmetry-distinct sites (fractional):
In  0.000  0.000  0.000 x2
Tc  0.000  0.500  0.245 x4
Hg  0.000  0.000  0.500 x2

***

Entry 9:
Material: InTc2Hg
Method: DFT, SCAN
State: PBEsol geometry

Values from the calculation:
N(E_F): 4.82 states/eV per cell
Formation energy: 0.5674 eV/atom
Energy above the lowest structure with this stoichiometry: 101 meV per atom
E_tot: -42.35 eV/atom

Unit cell a=4.042 b=4.042 c=8.293 alpha=90.00 beta=90.00 gamma=90.00
Space group I4/mmm (No. 139)
Symmetry-distinct sites (fractional):
In  0.000  0.000  0.000 x2
Tc  0.000  0.500  0.250 x4
Hg  0.000  0.000  0.500 x2

***

Entry 10:
Material: In2TcHg
Method: DFT, SCAN
State: PBEsol geometry

Values from the calculation:
N(E_F): 3.19 states/eV per cell
Formation energy: 0.3076 eV/atom
E_tot: -42.19 eV/atom

Unit cell a=10.223 b=3.502 c=4.575 alpha=90.00 beta=111.63 gamma=90.00
Space group Cm (No. 8)
Symmetry-distinct sites (fractional):
In  0.000  0.000  0.000 x2
In  0.231  0.000  0.646 x2
Tc  0.001  0.500  0.525 x2
Hg  0.261  0.500  0.175 x2

***

Entry 11:
Material: InTc2Hg
Method: DFT, SCAN
State: PBEsol geometry

Values from the calculation:
N(E_F): 6.29 states/eV per cell
Formation energy: 0.4668 eV/atom
Energy above the lowest structure with this stoichiometry: 0 meV per atom
E_tot: -42.45 eV/atom

Unit cell a=9.788 b=2.945 c=4.837 alpha=90.00 beta=103.93 gamma=90.00
Space group Cm (No. 8)
Symmetry-distinct sites (fractional):
In  0.000  0.000  0.000 x2
Tc  0.032  0.500  0.527 x2
Tc  0.243  0.000  0.755 x2
Hg  0.272  0.500  0.282 x2

***

Entry 12:
Material: In2TcHg
Method: DFT, SCAN
State: PBEsol geometry

Values from the calculation:
N(E_F): 1.20 states/eV per cell
Formation energy: 0.2798 eV/atom
E_tot: -42.22 eV/atom

Unit cell a=4.135 b=4.135 c=8.762 alpha=90.00 beta=90.00 gamma=90.00
Space group I4/mmm (No. 139)
Symmetry-distinct sites (fractional):
In  0.000  0.500  0.250 x4
Tc  0.000  0.000  0.000 x2
Hg  0.000  0.000  0.500 x2

***

Please write out number 1 again, unchanged.
Material: TaIn2Hg
Method: DFT, SCAN
State: PBEsol geometry

Values from the calculation:
N(E_F): 2.93 states/eV per cell
Formation energy: 0.3263 eV/atom
E_tot: -50.05 eV/atom

Unit cell a=10.270 b=3.121 c=5.237 alpha=90.00 beta=103.39 gamma=90.00
Space group C2/m (No. 12)
Symmetry-distinct sites (fractional):
Ta  0.000  0.000  0.000 x2
In  0.244  0.500  0.238 x4
Hg  0.000  0.500  0.500 x2